{
  "formula": "NdAlAu3",
  "functional": "PBE-GGA",
  "state": "optimized geometry",
  "lattice_angstrom": [[5.710, 0.000, 0.000], [0.000, 5.790, 0.000], [0.000, 0.000, 12.695]],
  "species": ["Nd", "Nd", "Nd", "Nd", "Al", "Al", "Al", "Al", "Au", "Au", "Au", "Au", "Au", "Au", "Au", "Au", "Au", "Au", "Au", "Au"],
  "fractional_positions": [[0.500, 0.000, 0.000], [0.000, 0.500, 0.500], [0.000, 0.500, 0.000], [0.500, 0.000, 0.500], [0.309, 0.801, 0.250], [0.809, 0.699, 0.750], [0.691, 0.199, 0.750], [0.191, 0.301, 0.250], [0.986, 0.989, 0.890], [0.486, 0.511, 0.390], [0.486, 0.511, 0.110], [0.014, 0.011, 0.390], [0.014, 0.011, 0.110], [0.514, 0.489, 0.610], [0.514, 0.489, 0.890], [0.986, 0.989, 0.610], [0.626, 0.125, 0.250], [0.126, 0.375, 0.750], [0.374, 0.875, 0.750], [0.874, 0.625, 0.250]],
  "ef_mev_per_atom": -613,
  "spacegroup": "Pnma (62)",
  "relative_energy_mev_per_atom": 0
}

{
  "formula": "Mn2Tl4I9",
  "functional": "PBE-GGA",
  "state": "optimized geometry",
  "lattice_angstrom": [[8.147, 0.001, 0.017], [4.071, 7.296, 0.071], [-0.041, 0.021, 22.462]],
  "species": ["Mn", "Mn", "Mn", "Mn", "Tl", "Tl", "Tl", "Tl", "Tl", "Tl", "Tl", "Tl", "I", "I", "I", "I", "I", "I", "I", "I", "I", "I", "I", "I", "I", "I", "I", "I", "I", "I"],
  "fractional_positions": [[0.868, 0.071, 0.360], [0.939, 0.929, 0.140], [0.132, 0.929, 0.640], [0.061, 0.071, 0.860], [0.346, 0.363, 0.944], [0.291, 0.362, 0.443], [0.654, 0.637, 0.056], [0.258, 0.291, 0.182], [0.709, 0.638, 0.557], [0.549, 0.709, 0.318], [0.451, 0.291, 0.682], [0.742, 0.709, 0.818], [0.171, 0.299, 0.803], [0.470, 0.701, 0.697], [0.942, 0.000, 0.750], [0.829, 0.701, 0.197], [0.530, 0.299, 0.303], [0.058, 0.000, 0.250], [0.680, 0.931, 0.425], [0.874, 0.371, 0.409], [0.194, 0.825, 0.414], [0.612, 0.068, 0.075], [0.246, 0.628, 0.091], [0.019, 0.175, 0.086], [0.320, 0.069, 0.575], [0.126, 0.629, 0.591], [0.806, 0.175, 0.586], [0.388, 0.932, 0.925], [0.754, 0.372, 0.909], [0.981, 0.825, 0.914]],
  "spacegroup": "P-1 (2)",
  "dft_energy_ev_per_atom": -3.276
}

{
  "formula": "DyHoTlIr",
  "functional": "PBE-GGA",
  "state": "optimized geometry",
  "lattice_angstrom": [[5.086, 0.000, 0.000], [2.543, 4.405, 0.000], [2.543, 1.468, 4.153]],
  "species": ["Tl", "Ir", "Ho", "Dy"],
  "fractional_positions": [[0.500, 0.500, 0.500], [0.000, 0.000, 0.000], [0.750, 0.750, 0.750], [0.250, 0.250, 0.250]],
  "ef_mev_per_atom": -493,
  "spacegroup": "F-43m (216)",
  "relative_energy_mev_per_atom": 126
}

{
  "formula": "Sm3ErSb3",
  "functional": "PBE-GGA",
  "state": "optimized geometry",
  "lattice_angstrom": [[9.328, 0.000, 0.000], [0.000, 9.328, 0.000], [0.000, 0.000, 9.328]],
  "species": ["Sm", "Sm", "Sm", "Sm", "Sm", "Sm", "Sm", "Sm", "Sm", "Sm", "Sm", "Sm", "Er", "Er", "Er", "Er", "Sb", "Sb", "Sb", "Sb", "Sb", "Sb", "Sb", "Sb", "Sb", "Sb", "Sb", "Sb"],
  "fractional_positions": [[0.823, 0.323, 0.177], [0.932, 0.932, 0.932], [0.821, 0.679, 0.321], [0.177, 0.823, 0.323], [0.179, 0.179, 0.179], [0.321, 0.821, 0.679], [0.068, 0.432, 0.568], [0.323, 0.177, 0.823], [0.679, 0.321, 0.821], [0.677, 0.677, 0.677], [0.568, 0.068, 0.432], [0.432, 0.568, 0.068], [0.073, 0.573, 0.927], [0.927, 0.073, 0.573], [0.427, 0.427, 0.427], [0.573, 0.927, 0.073], [0.755, 0.628, 0.998], [0.872, 0.002, 0.255], [0.998, 0.755, 0.628], [0.128, 0.502, 0.245], [0.245, 0.128, 0.502], [0.255, 0.872, 0.002], [0.002, 0.255, 0.872], [0.372, 0.498, 0.745], [0.502, 0.245, 0.128], [0.628, 0.998, 0.755], [0.745, 0.372, 0.498], [0.498, 0.745, 0.372]],
  "spacegroup": "P2_13 (198)",
  "relative_energy_mev_per_atom": 0
}

Respective V values: 419.7; 1335.1; 93.0; 811.7 Å³ per cell.
Respective magnetization values: 0.00; 0.60; 0.00; 0.00 μB per atom.